No. 1
VASP calculation (PBEsol) on a relaxed LiScPb2 crystal.

Its calculated formation energy is -0.320 eV/atom. Its relative energy among the computed polymorphs is 36.5 meV per atom.

It has space group I4/mmm (No. 139), with a = 4.6476 Å, b = 4.6476 Å, c = 8.5291 Å, α = 90.00°, β = 90.00° and γ = 90.00°. Symmetry generates all atoms from Li at (0.0000, 0.0000, 0.0000), Sc at (0.0000, 0.0000, 0.5000) and Pb at (0.0000, 0.5000, 0.2500).

=====

No. 2
VASP calculation (PBEsol) on a relaxed LiScPb2 crystal.

Its calculated formation energy is -0.298 eV/atom. Its relative energy among the computed polymorphs is 58.0 meV per atom.

It has space group I-4m2 (No. 119), with a = 4.2296 Å, b = 4.2296 Å, c = 10.2828 Å, α = 90.00°, β = 90.00° and γ = 90.00°. Symmetry generates all atoms from Li at (0.0000, 0.0000, 0.0000), Sc at (0.0000, 0.5000, 0.7500), Pb at (0.0000, 0.0000, 0.5000) and Pb at (0.0000, 0.5000, 0.2500).

=====

No. 3
VASP calculation (PBEsol) on a relaxed LiScPb2 crystal.

Its calculated formation energy is -0.325 eV/atom. Its relative energy among the computed polymorphs is 30.7 meV per atom.

It has space group Cm (No. 8), with a = 11.3771 Å, b = 3.3788 Å, c = 5.0791 Å, α = 90.00°, β = 106.31° and γ = 90.00°. Symmetry generates all atoms from Li at (0.0000, 0.0000, 0.0000), Sc at (0.2628, 0.5000, 0.4220), Pb at (0.0020, 0.5000, 0.4858) and Pb at (0.2506, 0.0000, 0.9149).

=====

No. 4
VASP calculation (PBEsol) on a relaxed Li2ScPb2 crystal.

Its calculated formation energy is -0.256 eV/atom.

It has space group I4/mmm (No. 139), with a = 4.0915 Å, b = 4.0915 Å, c = 13.0134 Å, α = 90.00°, β = 90.00° and γ = 90.00°. Symmetry generates all atoms from Li at (0.0000, 0.5000, 0.2500), Sc at (0.0000, 0.0000, 0.0000) and Pb at (0.0000, 0.0000, 0.3902).

=====

No. 5
VASP calculation (PBEsol) on a relaxed LiScPb2 crystal.

Its calculated formation energy is -0.172 eV/atom. Its relative energy among the computed polymorphs is 184.2 meV per atom.

It has space group P4mm (No. 99), with a = 3.9566 Å, b = 3.9566 Å, c = 6.0733 Å, α = 90.00°, β = 90.00° and γ = 90.00°. Symmetry generates all atoms from Li at (0.0000, 0.0000, 0.0000), Sc at (0.5000, 0.5000, 0.7122), Pb at (0.0000, 0.0000, 0.5121) and Pb at (0.5000, 0.5000, 0.2052).

=====

No. 6
VASP calculation (PBEsol) on a relaxed LiScPb2 crystal.

Its calculated formation energy is -0.284 eV/atom. Its relative energy among the computed polymorphs is 72.2 meV per atom.

It has space group Fm-3m (No. 225), with a = 7.1915 Å, b = 7.1915 Å, c = 7.1915 Å, α = 90.00°, β = 90.00° and γ = 90.00°. Symmetry generates all atoms from Li at (0.0000, 0.0000, 0.0000), Sc at (0.0000, 0.0000, 0.5000) and Pb at (0.2500, 0.2500, 0.2500).

=====

Number 1: D(E_F) 2.865 states/eV/cell, total magnetization 0.00 μB per cell. Number 2: D(E_F) 7.138 states/eV/cell, total magnetization 0.00 μB per cell. Number 3: D(E_F) 4.569 states/eV/cell, total magnetization 0.00 μB per cell. Number 4: D(E_F) 4.024 states/eV/cell, total magnetization 0.00 μB per cell. Number 5: D(E_F) 3.581 states/eV/cell, total magnetization 0.00 μB per cell. Number 6: D(E_F) 8.557 states/eV/cell, total magnetization 0.00 μB per cell.